Record 1
DFT (PBE) results for a relaxed structure of Cs2TmCd3F12.

Calculated values
theoretical density = 4.4 g cm⁻³
Fermi-level density of states = 0.5160 states/eV/atom
magnetic moment = 0.00 μB per cell
E_tot = -79.17 eV per formula unit

Lattice parameters (Å, degrees): 8.175 8.175 8.175 58.61 58.61 58.61
Element x y z (fractional)
1 Cs 0.619 0.619 0.619
2 Cs 0.381 0.381 0.381
3 Tm 0.000 0.000 0.000
4 Cd 0.500 0.000 0.000
5 Cd 0.000 0.500 0.000
6 Cd 0.000 0.000 0.500
7 F 0.327 0.327 0.920
8 F 0.928 0.928 0.317
9 F 0.317 0.928 0.928
10 F 0.920 0.327 0.327
11 F 0.928 0.317 0.928
12 F 0.327 0.920 0.327
13 F 0.673 0.673 0.080
14 F 0.072 0.072 0.683
15 F 0.683 0.072 0.072
16 F 0.080 0.673 0.673
17 F 0.072 0.683 0.072
18 F 0.673 0.080 0.673

Record 2
DFT (PBE) results for a relaxed structure of Cs2TmCdF6.

Calculated values
theoretical density = 5.1 g cm⁻³
Fermi-level density of states = 0.1801 states/eV/atom
magnetic moment = 1.92 μB per cell
E_tot = -48.43 eV per formula unit

Lattice parameters (Å, degrees): 6.708 6.709 9.489 90.00 90.00 90.00
Element x y z (fractional)
1 Cs 0.500 0.749 0.250
2 Cs 0.000 0.251 0.750
3 Cs 0.500 0.749 0.750
4 Cs 0.000 0.251 0.250
5 Tm 0.500 0.249 0.500
6 Tm 0.000 0.751 0.000
7 Cd 0.000 0.750 0.500
8 Cd 0.500 0.250 0.000
9 F 0.500 0.248 0.273
10 F 0.500 0.248 0.727
11 F 0.000 0.752 0.227
12 F 0.000 0.752 0.773
13 F 0.273 0.022 0.500
14 F 0.727 0.022 0.500
15 F 0.273 0.475 0.500
16 F 0.727 0.475 0.500
17 F 0.773 0.525 0.000
18 F 0.227 0.525 0.000
19 F 0.227 0.978 0.000
20 F 0.773 0.978 0.000